Compound: CsFeAgI4
Source: Alexandria
Functional: PBE
Structure: relaxed

Lattice parameters (Å, degrees): 6.798 8.341 10.755 90.00 107.66 90.00
Sites, in units of the cell vectors:
Cs: 0.191 0.250 0.392
Cs: 0.809 0.750 0.608
Fe: 0.338 0.750 0.198
Fe: 0.662 0.250 0.802
Ag: 0.375 0.250 0.984
Ag: 0.625 0.750 0.016
I: 0.026 0.750 0.986
I: 0.218 0.750 0.408
I: 0.423 0.501 0.795
I: 0.423 0.999 0.795
I: 0.577 0.001 0.205
I: 0.577 0.499 0.205
I: 0.782 0.250 0.592
I: 0.974 0.250 0.014

Properties
DFT total energy	-3.168	eV per atom
formation energy from raw total energies	-0.54	eV per atom
size of the total moment	8.0	μB per cell

Compound: TaSi2Pt
Source: Alexandria
Functional: PBE
Structure: relaxed

Lattice parameters (Å, degrees): 4.467 4.467 4.467 60.00 60.00 60.00
Sites, in units of the cell vectors:
Ta: 0.000 0.000 0.000
Si: 0.250 0.250 0.250
Si: 0.500 0.500 0.500
Pt: 0.750 0.750 0.750

Properties
DFT total energy	-7.087	eV per atom
formation energy from raw total energies	0.10	eV per atom
size of the total moment	0.0	μB per cell

Compound: TbPrEr2
Source: Alexandria
Functional: PBE
Structure: relaxed

Lattice parameters (Å, degrees): 5.693 5.693 5.693 60.00 60.00 60.00
Sites, in units of the cell vectors:
Tb: 0.000 0.000 0.000
Pr: 0.500 0.500 0.500
Er: 0.250 0.250 0.250
Er: 0.750 0.750 0.750

Properties
energy of formation	116	meV per atom
DFT total energy	-4.518	eV per atom
energy above the lowest structure with this stoichiometry	0.104	eV per atom
size of the total moment	0.0	μB per cell

Compound: ErZrTc4
Source: Alexandria
Functional: PBE
Structure: relaxed

Lattice parameters (Å, degrees): 5.327 5.327 5.327 60.00 60.00 60.00
Sites, in units of the cell vectors:
Er: 0.000 0.000 0.000
Zr: 0.750 0.750 0.750
Tc: 0.375 0.375 0.375
Tc: 0.375 0.375 0.874
Tc: 0.375 0.874 0.375
Tc: 0.874 0.375 0.375

Properties
energy of formation	-225	meV per atom
DFT total energy	-9.321	eV per atom
size of the total moment	0.0	μB per cell